Version 1
The following is a PBE calculation of crystalline La2Dy2Ho at its relaxed geometry, from the Alexandria database.

Lattice parameters (Å, degrees): 8.1420 8.1420 8.1420 98.95 98.95 133.55
Positions (direct):
1 La 0.1100 0.6100 0.7200
2 La 0.3900 0.1100 0.5000
3 La 0.6100 0.8900 0.5000
4 La 0.8900 0.3900 0.2800
5 Dy 0.1897 0.3103 0.5000
6 Dy 0.3103 0.8103 0.1206
7 Dy 0.6897 0.1897 0.8794
8 Dy 0.8103 0.6897 0.5000
9 Ho 0.2500 0.2500 0.0000
10 Ho 0.7500 0.7500 0.0000

Crystal system = tetragonal
DOS(E_F) = 1.673 states/eV per atom

Version 2
The following is a PBE calculation of crystalline La2Dy2Ho at its relaxed geometry, from the Alexandria database.

Lattice parameters (Å, degrees): 6.5542 6.5542 8.9099 105.20 105.20 95.63
Positions (direct):
1 La 0.0744 0.2467 0.1394
2 La 0.2467 0.0744 0.6394
3 La 0.7533 0.9256 0.3606
4 La 0.9256 0.7533 0.8606
5 Dy 0.0000 0.5000 0.5000
6 Dy 0.5000 0.0000 0.0000
7 Dy 0.5000 0.5000 0.0000
8 Dy 0.5000 0.5000 0.5000
9 Ho 0.2076 0.7924 0.2500
10 Ho 0.7924 0.2076 0.7500

Crystal system = monoclinic
DOS(E_F) = 1.665 states/eV per atom

Stability check: which of them is least stable? version 1.